Pr2EuEr | PBE | relaxed

Lattice parameters (Å, degrees): 3.697 3.697 10.455 90.00 90.00 90.00
Each line ends with the local moment (μB).
Fractional positions:
Pr1 0.000 0.000 0.235  0.00
Er1 0.500 0.500 0.000  -0.17
Eu1 0.500 0.500 0.500  6.95
Pr2 0.000 0.000 0.765  0.00

Energy of formation: 0.13 eV per formula unit
Space group: No. 123
Spin magnetization: 7.165 μB per cell

PrEuEr | PBE | relaxed

Lattice parameters (Å, degrees): 3.707 3.707 8.208 103.05 103.05 90.00
Each line ends with the local moment (μB).
Fractional positions:
Pr1 0.675 0.675 0.351  -0.06
Er1 0.327 0.327 0.654  -0.07
Eu1 0.998 0.998 0.995  6.96

Energy of formation: 0.15 eV per formula unit
Space group: No. 107
Spin magnetization: 7.232 μB per cell

Pr2EuEr | PBE | relaxed

Lattice parameters (Å, degrees): 3.686 3.686 12.272 81.36 81.36 60.00
Each line ends with the local moment (μB).
Fractional positions:
Er1 0.000 0.000 0.000  -0.09
Eu1 0.500 0.500 0.500  6.98
Pr1 0.746 0.746 0.763  0.02
Pr2 0.254 0.254 0.237  0.02

Energy of formation: 0.11 eV per formula unit
Space group: No. 166
Spin magnetization: 7.414 μB per cell